(1)
The following is a PBE-GGA calculation of MgUGe2Ir2 after structural relaxation, from Alexandria via LeMat-Bulk.

Properties
Symmetry ... No. 164

```
MgUGe2Ir2
1.0
-1.7261 -3.6217 -1.6906
4.1243 1.0691 -0.8953
1.9845 -3.3472 5.1444
Mg U Ge Ir
1 1 2 2
direct
0.0000 0.0000 0.5000
0.0000 0.0000 0.0000
0.6667 0.3333 0.2869
0.3333 0.6667 0.7131
0.6667 0.3333 0.7379
0.3333 0.6667 0.2621
```

(2)
The following is a PBE-GGA calculation of Y2MgGe3Ir4 after structural relaxation, from Alexandria via LeMat-Bulk.

Properties
Symmetry ... No. 115

```
Y2MgGe3Ir4
1.0
4.1113 0.0000 0.0000
0.0000 4.1113 0.0000
0.0000 0.0000 10.8778
Y Mg Ge Ir
2 1 3 4
direct
0.5000 0.0000 0.2385
0.0000 0.5000 0.7615
0.5000 0.5000 0.5000
0.0000 0.0000 0.5000
0.5000 0.0000 0.8719
0.0000 0.5000 0.1281
0.5000 0.5000 0.0000
0.0000 0.0000 0.0000
0.5000 0.0000 0.6474
0.0000 0.5000 0.3526
```

(3)
The following is a PBE-GGA calculation of Mg2ZnGe2Ir5 after structural relaxation, from Alexandria via LeMat-Bulk.

Properties
Symmetry ... No. 127

```
Mg2ZnGe2Ir5
1.0
-1.3014 1.2544 -3.0762
-8.7471 -1.5105 3.0846
-0.2178 8.6667 3.6262
Mg Zn Ge Ir
4 2 4 10
direct
0.0000 0.6692 0.1692
0.0000 0.3308 0.8308
0.0000 0.1692 0.3308
0.0000 0.8308 0.6692
0.0000 0.0000 0.0000
0.0000 0.5000 0.5000
0.0000 0.1323 0.6323
0.0000 0.8677 0.3677
0.0000 0.6323 0.8677
0.0000 0.3677 0.1323
0.5000 0.1979 0.0697
0.5000 0.8021 0.9303
0.5000 0.0697 0.8021
0.5000 0.6979 0.4303
0.5000 0.9303 0.1979
0.5000 0.3021 0.5697
0.5000 0.5697 0.6979
0.5000 0.4303 0.3021
0.5000 0.5000 0.0000
0.5000 0.0000 0.5000
```

| no. | energy of formation (eV/atom) | uncorrected energy (eV per atom) |
| --- | --- | --- |
| 1 | -0.46 | -7.10 |
| 2 | -0.73 | -7.11 |
| 3 | -0.24 | -6.04 |